Here is a relaxed structure of NiSbMoOs from OQMD. Energies are from PBE-GGA.

Calculated values
Calculated density in Mg/m³: 12.535
Crystal system: cubic
Final energy in eV/cell: -30.3

Cell lengths 4.438, 4.438, 4.438 Å; angles 60.00, 60.00, 60.00 degrees
Element x y z (fractional)
1 Sb 0.000 0.000 0.000
2 Os 0.500 0.500 0.500
3 Mo 0.250 0.250 0.250
4 Ni 0.750 0.750 0.750